[1]
Crystalline CsMn2Mo at its relaxed geometry. Source: Alexandria via LeMat-Bulk, functional PBE.

POSCAR file:
```
CsMn2Mo
1.0
-0.8569 2.9296 3.9599
-3.9245 3.0977 0.0154
-3.8984 -0.9189 2.9926
Mn Cs Mo
2 1 1
Direct
0.7500 0.7500 0.7500
0.2500 0.2500 0.2500
0.5000 0.5000 0.5000
0.0000 0.0000 0.0000
```

Summary:
* VASP energy: -23.24 eV/cell
* space-group type: Fm-3m

=====

[2]
Crystalline CsMnMo3 at its relaxed geometry. Source: Alexandria via LeMat-Bulk, functional PBE.

POSCAR file:
```
CsMnMo3
1.0
-0.3039 -4.4940 -1.8129
3.7341 -1.3749 2.7823
-3.0886 -1.2200 3.5422
Mo Mn Cs
3 1 1
Direct
0.0000 0.0000 0.5000
0.5000 0.0000 0.0000
0.0000 0.5000 0.0000
0.5000 0.5000 0.5000
0.0000 0.0000 0.0000
```

Summary:
* offset from the most stable computed form: 9.37 eV/f.u.
* VASP energy: -24.11 eV/cell
* space-group type: Pm-3m

=====

Repeat the second record exactly.
Crystalline CsMnMo3 at its relaxed geometry. Source: Alexandria via LeMat-Bulk, functional PBE.

POSCAR file:
```
CsMnMo3
1.0
-0.3039 -4.4940 -1.8129
3.7341 -1.3749 2.7823
-3.0886 -1.2200 3.5422
Mo Mn Cs
3 1 1
Direct
0.0000 0.0000 0.5000
0.5000 0.0000 0.0000
0.0000 0.5000 0.0000
0.5000 0.5000 0.5000
0.0000 0.0000 0.0000
```

Summary:
* offset from the most stable computed form: 9.37 eV/f.u.
* VASP energy: -24.11 eV/cell
* space-group type: Pm-3m